No. 1
VASP calculation (PBE) on Ac12BiRu6 after structural relaxation.

```
data_Ac12BiRu6
_chemical_formula_sum 'Ac12 Bi1 Ru6'
_cell_length_a 9.347
_cell_length_b 9.347
_cell_length_c 9.347
_cell_angle_alpha 109.47
_cell_angle_beta 109.47
_cell_angle_gamma 109.47
_symmetry_space_group_name_H-M 'P 1'
_symmetry_Int_Tables_number 1
_symmetry_space_group_name_Hall 'P 1'
loop_
_atom_site_label
_atom_site_type_symbol
_atom_site_fract_x
_atom_site_fract_y
_atom_site_fract_z
Ru1 Ru 0.119 0.619 0.500
Ru2 Ru 0.881 0.381 0.500
Ac1 Ac 0.309 0.500 0.191
Ac2 Ac 0.809 0.691 0.500
Ac3 Ac 0.882 0.191 0.691
Ru3 Ru 0.381 0.500 0.881
Ru4 Ru 0.500 0.119 0.619
Ru5 Ru 0.500 0.881 0.381
Ac4 Ac 0.118 0.809 0.309
Ac5 Ac 0.191 0.691 0.882
Ac6 Ac 0.191 0.309 0.500
Ac7 Ac 0.691 0.882 0.191
Ac8 Ac 0.809 0.309 0.118
Ac9 Ac 0.309 0.118 0.809
Ac10 Ac 0.691 0.500 0.809
Ac11 Ac 0.500 0.191 0.309
Ac12 Ac 0.500 0.809 0.691
Bi1 Bi 0.000 0.000 0.000
Ru6 Ru 0.619 0.500 0.119
```

Summary:
V: 33.1 Å³/atom
Size of the total moment: 0.0 μB/f.u.
Energy of formation: -0.194 eV/atom
Mass density: 9.349 g/cm³

No. 2
VASP calculation (PBE) on AcBi2Ru after structural relaxation.

```
data_AcBi2Ru
_chemical_formula_sum 'Ac1 Bi2 Ru1'
_cell_length_a 4.696
_cell_length_b 4.696
_cell_length_c 6.480
_cell_angle_alpha 68.76
_cell_angle_beta 68.76
_cell_angle_gamma 60.00
_symmetry_space_group_name_H-M 'P 1'
_symmetry_Int_Tables_number 1
_symmetry_space_group_name_Hall 'P 1'
loop_
_atom_site_label
_atom_site_type_symbol
_atom_site_fract_x
_atom_site_fract_y
_atom_site_fract_z
Ac1 Ac 0.000 0.000 0.000
Bi1 Bi 0.779 0.779 0.664
Bi2 Bi 0.221 0.221 0.336
Ru1 Ru 0.500 0.500 0.500
```

Summary:
V: 28.1 Å³/atom
Size of the total moment: 0.0 μB/f.u.
Energy of formation: -0.206 eV/atom
Mass density: 11.024 g/cm³

No. 3
VASP calculation (PBE) on AcBi2Ru after structural relaxation.

```
data_AcBi2Ru
_chemical_formula_sum 'Ac1 Bi2 Ru1'
_cell_length_a 5.061
_cell_length_b 4.674
_cell_length_c 4.674
_cell_angle_alpha 90.00
_cell_angle_beta 90.00
_cell_angle_gamma 90.00
_symmetry_space_group_name_H-M 'P 1'
_symmetry_Int_Tables_number 1
_symmetry_space_group_name_Hall 'P 1'
loop_
_atom_site_label
_atom_site_type_symbol
_atom_site_fract_x
_atom_site_fract_y
_atom_site_fract_z
Ru1 Ru 0.500 0.500 0.500
Bi1 Bi 0.000 0.500 0.000
Ac1 Ac 0.500 0.000 0.000
Bi2 Bi 0.000 0.000 0.500
```

Summary:
V: 27.6 Å³/atom
Size of the total moment: 0.0 μB/f.u.
Energy of formation: 0.077 eV/atom
Mass density: 11.205 g/cm³

No. 4
VASP calculation (PBE) on AcBi2Ru after structural relaxation.

```
data_AcBi2Ru
_chemical_formula_sum 'Ac1 Bi2 Ru1'
_cell_length_a 3.573
_cell_length_b 3.573
_cell_length_c 8.363
_cell_angle_alpha 90.00
_cell_angle_beta 90.00
_cell_angle_gamma 90.00
_symmetry_space_group_name_H-M 'P 1'
_symmetry_Int_Tables_number 1
_symmetry_space_group_name_Hall 'P 1'
loop_
_atom_site_label
_atom_site_type_symbol
_atom_site_fract_x
_atom_site_fract_y
_atom_site_fract_z
Bi1 Bi 0.000 0.000 0.194
Ru1 Ru 0.500 0.500 0.000
Bi2 Bi 0.000 0.000 0.806
Ac1 Ac 0.500 0.500 0.500
```

Summary:
V: 26.7 Å³/atom
Size of the total moment: 0.4 μB/f.u.
Energy of formation: 0.036 eV/atom
Mass density: 11.605 g/cm³

No. 5
VASP calculation (PBE) on Ac5Bi4Ru after structural relaxation.

```
data_Ac5Bi4Ru
_chemical_formula_sum 'Ac5 Bi4 Ru1'
_cell_length_a 6.797
_cell_length_b 8.256
_cell_length_c 8.256
_cell_angle_alpha 80.25
_cell_angle_beta 65.69
_cell_angle_gamma 65.69
_symmetry_space_group_name_H-M 'P 1'
_symmetry_Int_Tables_number 1
_symmetry_space_group_name_Hall 'P 1'
loop_
_atom_site_label
_atom_site_type_symbol
_atom_site_fract_x
_atom_site_fract_y
_atom_site_fract_z
Bi1 Bi 0.811 0.781 0.604
Bi2 Bi 0.415 0.396 0.781
Ac1 Ac 0.737 0.175 0.360
Ac2 Ac 0.097 0.640 0.175
Ru1 Ru 0.029 0.000 0.000
Bi3 Bi 0.592 0.604 0.219
Ac3 Ac 0.912 0.360 0.825
Ac4 Ac 0.272 0.825 0.640
Bi4 Bi 0.196 0.219 0.396
Ac5 Ac 0.450 0.000 0.000
```

Summary:
V: 38.5 Å³/atom
Size of the total moment: 0.0 μB/f.u.
Energy of formation: -0.678 eV/atom
Mass density: 8.941 g/cm³

No. 6
VASP calculation (PBE) on Ac7Bi2Ru2 after structural relaxation.

```
data_Ac7Bi2Ru2
_chemical_formula_sum 'Ac7 Bi2 Ru2'
_cell_length_a 7.730
_cell_length_b 7.481
_cell_length_c 7.481
_cell_angle_alpha 75.16
_cell_angle_beta 90.02
_cell_angle_gamma 90.02
_symmetry_space_group_name_H-M 'P 1'
_symmetry_Int_Tables_number 1
_symmetry_space_group_name_Hall 'P 1'
loop_
_atom_site_label
_atom_site_type_symbol
_atom_site_fract_x
_atom_site_fract_y
_atom_site_fract_z
Ac1 Ac 0.776 0.500 0.500
Ac2 Ac 0.754 0.500 0.000
Ac3 Ac 0.224 0.500 0.500
Ru1 Ru 0.000 0.725 0.725
Ru2 Ru 0.000 0.275 0.275
Ac4 Ac 0.246 0.500 0.000
Bi1 Bi 0.500 0.195 0.805
Ac5 Ac 0.000 0.000 0.000
Ac6 Ac 0.754 0.000 0.500
Bi2 Bi 0.500 0.805 0.195
Ac7 Ac 0.246 0.000 0.500
```

Summary:
V: 38.0 Å³/atom
Size of the total moment: 0.0 μB/f.u.
Energy of formation: -0.302 eV/atom
Mass density: 8.773 g/cm³